# 1
# TlAuN3

Crystalline TlAuN3 at its relaxed geometry (PBE, the Alexandria database).

Cell and atoms, written as POSCAR:
```
TlAuN3
1.0
4.223 0.000 0.000
0.000 4.223 0.000
0.000 0.000 4.223
Tl Au N
1 1 3
direct
0.000 0.000 0.000
0.500 0.500 0.500
0.000 0.500 0.500
0.500 0.000 0.500
0.500 0.500 0.000
```

Values from the calculation:
E   -3.98 eV per atom
Energy relative to the elements, uncorrected   2.1439 eV/atom
V   75.3 Å³ per cell
Space-group type   Pm-3m (221)

=====

# 2
# Tl3AuN

Crystalline Tl3AuN at its relaxed geometry (PBE, the Alexandria database).

Cell and atoms, written as POSCAR:
```
Tl3AuN
1.0
5.491 0.000 0.000
0.000 5.491 0.000
0.000 0.000 5.491
Tl Au N
3 1 1
direct
0.000 0.000 0.500
0.000 0.500 0.000
0.500 0.000 0.000
0.000 0.000 0.000
0.500 0.500 0.500
```

Values from the calculation:
E   -2.52 eV per atom
Energy relative to the elements, uncorrected   1.2157 eV/atom
V   165.6 Å³ per cell
Offset from the most stable computed form   784 meV/atom
Space-group type   Pm-3m (221)

=====

# 3
# ZrTl2AuN

Crystalline ZrTl2AuN at its relaxed geometry (PBE, the Alexandria database).

Cell and atoms, written as POSCAR:
```
ZrTl2AuN
1.0
5.052 0.000 0.000
0.000 5.052 0.000
0.000 0.000 4.237
Zr Tl Au N
1 2 1 1
direct
0.000 0.000 0.000
0.000 0.500 0.500
0.500 0.000 0.500
0.500 0.500 0.000
0.000 0.000 0.500
```

Values from the calculation:
E   -4.84 eV per atom
Energy relative to the elements, uncorrected   0.1414 eV/atom
V   108.2 Å³ per cell
Space-group type   P4/mmm (123)

=====

Repeat the second record exactly.
# Tl3AuN

Crystalline Tl3AuN at its relaxed geometry (PBE, the Alexandria database).

Cell and atoms, written as POSCAR:
```
Tl3AuN
1.0
5.491 0.000 0.000
0.000 5.491 0.000
0.000 0.000 5.491
Tl Au N
3 1 1
direct
0.000 0.000 0.500
0.000 0.500 0.000
0.500 0.000 0.000
0.000 0.000 0.000
0.500 0.500 0.500
```

Values from the calculation:
E   -2.52 eV per atom
Energy relative to the elements, uncorrected   1.2157 eV/atom
V   165.6 Å³ per cell
Offset from the most stable computed form   784 meV/atom
Space-group type   Pm-3m (221)

=====

- Number 1 is which compound?
  TlAuN3